Entry 1:
K2ThNpSe4 PBE optimized geometry; uncorrected energy = -5.977 eV/atom; formation energy (no corrections) = -1.416 eV per atom; symmetry = P2/m; crystal system = monoclinic
1.0
4.279 0.000 0.000
0.000 7.393 0.122
0.000 -2.600 7.716
Se Th Np K
4 1 1 2
Direct
0.500 0.237 0.214 Se
0.500 0.763 0.786 Se
0.000 0.263 0.790 Se
0.000 0.737 0.210 Se
0.000 0.000 0.000 Th
0.500 0.500 0.000 Np
0.500 0.000 0.500 K
0.000 0.500 0.500 K

=====

Entry 2:
K4Th3NpSe8 PBE optimized geometry; uncorrected energy = -5.692 eV/atom; formation energy (no corrections) = -1.476 eV per atom; symmetry = R-3m; crystal system = trigonal
1.0
-2.249 7.772 2.644
-8.903 -2.311 -0.781
4.914 -4.912 4.918
Se K Th Np
8 4 3 1
Direct
0.262 0.286 0.024 Se
0.762 0.286 0.524 Se
0.261 0.283 0.522 Se
0.762 0.286 0.024 Se
0.238 0.714 0.976 Se
0.238 0.714 0.476 Se
0.738 0.714 0.976 Se
0.739 0.717 0.478 Se
0.500 0.000 0.000 K
0.000 0.000 0.000 K
0.500 0.000 0.500 K
0.000 0.000 0.500 K
0.500 0.500 0.500 Th
0.500 0.500 0.000 Th
0.000 0.500 0.500 Th
0.000 0.500 0.000 Np

=====

> Which of these has the highest formation energy (no corrections)?

K2ThNpSe4